(1)
{
  "formula": "Na5Au4",
  "functional": "GGA-PBE",
  "state": "optimized geometry",
  "density_g_cm3": 6.67,
  "dos_at_fermi_per_ev_cell": 2.46,
  "magnetic_moment_mub_per_fu": 0.0,
  "vol_a3_per_fu": 224.9,
  "e_tot_ev_per_fu": -22.1,
  "ef_ev_per_atom": -0.27,
  "lattice_angstrom": [[-2.963, -1.023, 3.019], [-2.948, -4.793, -1.382], [4.841, -6.493, 5.688]],
  "species": ["Na", "Na", "Na", "Na", "Na", "Au", "Au", "Au", "Au"],
  "frac_coords": [[0.900, 0.804, 0.396], [0.741, 0.689, 0.829], [0.100, 0.196, 0.604], [0.000, 0.000, 0.000], [0.259, 0.311, 0.171], [0.438, 0.275, 0.849], [0.562, 0.725, 0.151], [0.374, 0.633, 0.619], [0.626, 0.367, 0.381]]
}

(2)
{
  "formula": "Rb3AgAu8",
  "functional": "GGA-PBE",
  "state": "optimized geometry",
  "density_g_cm3": 11.53,
  "dos_at_fermi_per_ev_cell": 2.37,
  "magnetic_moment_mub_per_fu": 0.0,
  "vol_a3_per_fu": 279.4,
  "e_tot_ev_per_fu": -33.5,
  "ef_ev_per_atom": -0.13,
  "lattice_angstrom": [[-1.774, -5.503, 0.621], [-0.984, -2.156, 5.310], [-10.003, 0.317, 1.460]],
  "species": ["Ag", "Au", "Au", "Au", "Au", "Au", "Au", "Au", "Au", "Rb", "Rb", "Rb"],
  "frac_coords": [[0.871, 0.871, 0.388], [0.436, 0.933, 0.195], [0.939, 0.446, 0.676], [0.939, 0.939, 0.676], [0.436, 0.436, 0.195], [0.688, 0.688, 0.936], [0.933, 0.436, 0.195], [0.189, 0.189, 0.434], [0.446, 0.939, 0.676], [0.501, 0.501, 0.496], [0.998, 0.998, 0.006], [0.375, 0.375, 0.875]]
}

(3)
{
  "formula": "MnTcNi2H",
  "functional": "GGA-PBE",
  "state": "optimized geometry",
  "density_g_cm3": 9.10,
  "dos_at_fermi_per_ev_cell": 5.60,
  "magnetic_moment_mub_per_fu": 0.4,
  "vol_a3_per_fu": 49.5,
  "relative_energy_mev_per_atom": 36,
  "e_tot_ev_per_fu": -34.1,
  "lattice_angstrom": [[-0.818, 2.781, 2.091], [1.435, -1.687, 2.806], [3.437, 1.606, -0.792]],
  "species": ["Ni", "Ni", "Tc", "Mn", "H"],
  "frac_coords": [[0.500, 0.000, 0.000], [0.000, 0.500, 0.000], [0.500, 0.500, 0.500], [0.000, 0.000, 0.500], [0.000, 0.000, 0.000]]
}

(4)
{
  "formula": "ScSiPb2",
  "functional": "GGA-PBE",
  "state": "optimized geometry",
  "density_g_cm3": 7.57,
  "dos_at_fermi_per_ev_cell": 2.43,
  "magnetic_moment_mub_per_fu": 0.0,
  "vol_a3_per_fu": 106.9,
  "e_tot_ev_per_fu": -19.4,
  "raw_formation_energy_kj_per_mol_fu": -25,
  "lattice_angstrom": [[-6.558, -3.916, 1.489], [-4.284, -6.486, 0.360], [0.411, -1.311, 3.813]],
  "species": ["Si", "Sc", "Pb", "Pb"],
  "frac_coords": [[0.250, 0.250, 0.250], [0.750, 0.750, 0.750], [0.925, 0.925, 0.076], [0.575, 0.575, 0.424]]
}

(5)
{
  "formula": "AlRuRh2",
  "functional": "GGA-PBE",
  "state": "optimized geometry",
  "density_g_cm3": 9.73,
  "dos_at_fermi_per_ev_cell": 4.90,
  "magnetic_moment_mub_per_fu": 1.2,
  "vol_a3_per_fu": 57.0,
  "e_tot_ev_per_fu": -28.8,
  "ef_ev_per_atom": -0.26,
  "lattice_angstrom": [[-3.026, -2.800, 1.783], [2.340, -3.510, -1.542], [1.480, -0.069, 2.403]],
  "species": ["Ru", "Rh", "Rh", "Al"],
  "frac_coords": [[0.500, 0.000, 0.500], [0.500, 0.500, 0.000], [0.000, 0.000, 0.000], [0.000, 0.500, 0.500]]
}

(6)
{
  "formula": "InAsBr2",
  "functional": "GGA-PBE",
  "state": "optimized geometry",
  "density_g_cm3": 4.24,
  "dos_at_fermi_per_ev_cell": 0.73,
  "magnetic_moment_mub_per_fu": 0.0,
  "vol_a3_per_fu": 136.8,
  "relative_energy_mev_per_atom": 158,
  "e_tot_ev_per_fu": -11.4,
  "raw_formation_energy_kj_per_mol_fu": -64,
  "lattice_angstrom": [[7.117, 0.243, -0.450], [5.956, 3.905, -0.450], [2.563, 0.813, 5.017]],
  "species": ["As", "Br", "Br", "In"],
  "frac_coords": [[0.250, 0.250, 0.250], [0.595, 0.595, 0.407], [0.905, 0.905, 0.093], [0.750, 0.750, 0.750]]
}

(7)
{
  "formula": "Pu3InCo",
  "functional": "GGA-PBE",
  "state": "optimized geometry",
  "density_g_cm3": 11.49,
  "dos_at_fermi_per_ev_cell": 25.82,
  "magnetic_moment_mub_per_fu": 16.3,
  "vol_a3_per_fu": 130.9,
  "e_tot_ev_per_fu": -52.4,
  "ef_ev_per_atom": 0.09,
  "lattice_angstrom": [[5.078, 0.000, 0.000], [0.000, 5.078, 0.000], [0.000, 0.000, 5.078]],
  "species": ["Co", "Pu", "Pu", "Pu", "In"],
  "frac_coords": [[0.000, 0.000, 0.000], [0.000, 0.000, 0.500], [0.000, 0.500, 0.000], [0.500, 0.000, 0.000], [0.500, 0.500, 0.500]]
}

(8)
{
  "formula": "HgTe2AsIr",
  "functional": "GGA-PBE",
  "state": "optimized geometry",
  "density_g_cm3": 8.38,
  "dos_at_fermi_per_ev_cell": 4.68,
  "magnetic_moment_mub_per_fu": 0.0,
  "vol_a3_per_fu": 143.3,
  "e_tot_ev_per_fu": -16.2,
  "raw_formation_energy_kj_per_mol_fu": 375,
  "lattice_angstrom": [[-1.049, -5.425, 0.846], [3.032, 0.145, 4.694], [-3.754, 1.099, 2.392]],
  "species": ["Te", "Te", "Hg", "Ir", "As"],
  "frac_coords": [[0.000, 0.500, 0.000], [0.500, 0.000, 0.000], [0.500, 0.500, 0.500], [0.000, 0.000, 0.500], [0.000, 0.000, 0.000]]
}